Hg2Ru | PBE | optimized geometry

Results
Total magnetic moment ... 0.0 μB/f.u.
ΔE_f ... 446 meV/atom

CIF file:
```
data_Hg2Ru
_chemical_formula_sum 'Hg8 Ru4'
_cell_length_a 5.774
_cell_length_b 4.396
_cell_length_c 9.764
_cell_angle_alpha 90.00
_cell_angle_beta 90.00
_cell_angle_gamma 90.00
_symmetry_space_group_name_H-M 'P n m a'
_symmetry_Int_Tables_number 62
_symmetry_space_group_name_Hall '-P 2ac 2n'
loop_
_atom_site_label
_atom_site_fract_x
_atom_site_fract_y
_atom_site_fract_z
Hg1 0.088 0.250 0.087
Hg2 0.224 0.750 0.280
Ru1 0.091 0.250 0.503
```